Record 1
# Pa2ZnMoN5 | the Alexandria database | PBE | relaxed
data_Pa2ZnMoN5
_space_group_name_H-M_alt 'C m c 21'
_space_group_IT_number 36
_space_group_name_Hall 'C 2c -2'
_cell_length_a 3.3016
_cell_length_b 13.4742
_cell_length_c 9.7885
_cell_angle_alpha 90.00
_cell_angle_beta 90.00
_cell_angle_gamma 90.00
loop_
_atom_site_label
_atom_site_fract_x
_atom_site_fract_y
_atom_site_fract_z
_atom_site_occupancy
Pa1 0.0000 0.1201 0.0000 1
Pa2 0.0000 0.1338 0.6001 1
Zn1 0.0000 0.4842 0.7811 1
Mo1 0.0000 0.2034 0.3067 1
N1 0.0000 0.0587 0.3676 1
N2 0.0000 0.2881 0.9608 1
N3 0.0000 0.3041 0.6630 1
N4 0.0000 0.3576 0.3121 1
N5 0.0000 0.4966 0.0786 1
# Final energy = -8.98 eV/atom
# Magnetization = 0.0001 μB/atom

Record 2
# Mo2PbN | the Alexandria database | PBE | relaxed
data_Mo2PbN
_space_group_name_H-M_alt 'I -4 2 d'
_space_group_IT_number 122
_space_group_name_Hall 'I -4 2bw'
_cell_length_a 6.6834
_cell_length_b 6.6834
_cell_length_c 5.8961
_cell_angle_alpha 90.00
_cell_angle_beta 90.00
_cell_angle_gamma 90.00
loop_
_atom_site_label
_atom_site_fract_x
_atom_site_fract_y
_atom_site_fract_z
_atom_site_occupancy
Mo1 0.1303 0.7500 0.1250 1
Pb1 0.0000 0.0000 0.5000 1
N1 0.0000 0.0000 0.0000 1
# Energy above the lowest structure with this stoichiometry = 0.0 meV/atom
# Final energy = -8.05 eV/atom
# Magnetization = 0.0000 μB/atom

Record 3
# Mo2PbN2 | the Alexandria database | PBE | relaxed
data_Mo2PbN2
_space_group_name_H-M_alt 'P 4/m b m'
_space_group_IT_number 127
_space_group_name_Hall '-P 4 2ab'
_cell_length_a 7.1891
_cell_length_b 7.1891
_cell_length_c 2.8366
_cell_angle_alpha 90.00
_cell_angle_beta 90.00
_cell_angle_gamma 90.00
loop_
_atom_site_label
_atom_site_fract_x
_atom_site_fract_y
_atom_site_fract_z
_atom_site_occupancy
Mo1 0.1201 0.3799 0.0000 1
Pb1 0.0000 0.0000 0.0000 1
N1 0.1155 0.6155 0.5000 1
# Energy above the lowest structure with this stoichiometry = 547.6 meV/atom
# Final energy = -7.64 eV/atom
# Magnetization = 0.0000 μB/atom

Record 4
# MoPb3N | the Alexandria database | PBE | relaxed
data_MoPb3N
_space_group_name_H-M_alt 'P m -3 m'
_space_group_IT_number 221
_space_group_name_Hall '-P 4 2 3'
_cell_length_a 4.9058
_cell_length_b 4.9058
_cell_length_c 4.9058
_cell_angle_alpha 90.00
_cell_angle_beta 90.00
_cell_angle_gamma 90.00
loop_
_atom_site_label
_atom_site_fract_x
_atom_site_fract_y
_atom_site_fract_z
_atom_site_occupancy
Mo1 0.0000 0.0000 0.0000 1
Pb1 0.0000 0.5000 0.5000 1
N1 0.5000 0.5000 0.5000 1
# Energy above the lowest structure with this stoichiometry = 0.0 meV/atom
# Final energy = -4.91 eV/atom
# Magnetization = 0.5565 μB/atom

Record 5
# MoPb3N3 | the Alexandria database | PBE | relaxed
data_MoPb3N3
_space_group_name_H-M_alt 'P 63/m'
_space_group_IT_number 176
_space_group_name_Hall '-P 6c'
_cell_length_a 8.4819
_cell_length_b 8.4819
_cell_length_c 5.4316
_cell_angle_alpha 90.00
_cell_angle_beta 90.00
_cell_angle_gamma 120.00
loop_
_atom_site_label
_atom_site_fract_x
_atom_site_fract_y
_atom_site_fract_z
_atom_site_occupancy
Mo1 0.3333 0.6667 0.2500 1
Pb1 0.1185 0.4136 0.7500 1
N1 0.0920 0.4819 0.2500 1
# Final energy = -6.35 eV/atom
# Magnetization = 0.0000 μB/atom

Record 6
# Mo2PbN2 | the Alexandria database | PBE | relaxed
data_Mo2PbN2
_space_group_name_H-M_alt 'I 4/m m m'
_space_group_IT_number 139
_space_group_name_Hall '-I 4 2'
_cell_length_a 3.6005
_cell_length_b 3.6005
_cell_length_c 10.8100
_cell_angle_alpha 90.00
_cell_angle_beta 90.00
_cell_angle_gamma 90.00
loop_
_atom_site_label
_atom_site_fract_x
_atom_site_fract_y
_atom_site_fract_z
_atom_site_occupancy
Mo1 0.0000 0.0000 0.1532 1
Pb1 0.0000 0.0000 0.5000 1
N1 0.0000 0.5000 0.2500 1
# Energy above the lowest structure with this stoichiometry = 0.0 meV/atom
# Final energy = -8.18 eV/atom
# Magnetization = 0.0000 μB/atom

Record 7
# MoPbN2 | the Alexandria database | PBE | relaxed
data_MoPbN2
_space_group_name_H-M_alt 'R -3 m'
_space_group_IT_number 166
_space_group_name_Hall '-R 3 2"'
_cell_length_a 3.1198
_cell_length_b 3.1198
_cell_length_c 21.3127
_cell_angle_alpha 90.00
_cell_angle_beta 90.00
_cell_angle_gamma 120.00
loop_
_atom_site_label
_atom_site_fract_x
_atom_site_fract_y
_atom_site_fract_z
_atom_site_occupancy
Mo1 0.0000 0.0000 0.0000 1
Pb1 0.0000 0.0000 0.5000 1
N1 0.0000 0.0000 0.3843 1
# Final energy = -7.63 eV/atom
# Magnetization = 0.1474 μB/atom

Record 8
# MoPbN3 | the Alexandria database | PBE | relaxed
data_MoPbN3
_space_group_name_H-M_alt 'P m -3 m'
_space_group_IT_number 221
_space_group_name_Hall '-P 4 2 3'
_cell_length_a 4.0339
_cell_length_b 4.0339
_cell_length_c 4.0339
_cell_angle_alpha 90.00
_cell_angle_beta 90.00
_cell_angle_gamma 90.00
loop_
_atom_site_label
_atom_site_fract_x
_atom_site_fract_y
_atom_site_fract_z
_atom_site_occupancy
Mo1 0.0000 0.0000 0.0000 1
Pb1 0.5000 0.5000 0.5000 1
N1 0.0000 0.0000 0.5000 1
# Final energy = -7.45 eV/atom
# Magnetization = 0.0000 μB/atom